No. 1
DyGaNO PBE optimized geometry; total magnetization = 0.00 μB per formula unit; energy above the lowest structure with this stoichiometry = 0.1650 eV per atom; electronic total energy = -52.45 eV for the cell shown; V = 113.6 Å³/cell; space group = P4/nmm
1.0
3.855 0.000 0.000
0.000 3.855 0.000
0.000 0.000 7.640
Dy Ga N O
2 2 2 2
Direct
0.250 0.250 0.144
0.750 0.750 0.856
0.250 0.750 0.500
0.750 0.250 0.500
0.250 0.250 0.633
0.750 0.750 0.367
0.250 0.750 0.000
0.750 0.250 0.000

=====

No. 2
Ho2ErAl3AgPd2 PBE optimized geometry; total magnetization = 0.04 μB per formula unit; electronic total energy = -44.53 eV for the cell shown; V = 181.2 Å³/cell; space group = Amm2
1.0
3.855 0.000 0.000
0.000 6.377 3.685
0.000 -6.377 3.685
Ho Er Al Ag Pd
2 1 3 1 2
Direct
0.000 0.207 0.793
0.000 0.793 0.207
0.000 0.621 0.621
0.500 0.208 0.463
0.500 0.463 0.208
0.500 0.951 0.951
0.000 0.208 0.208
0.500 0.541 0.873
0.500 0.873 0.541

=====

No. 3
Rb2Pt2O PBE optimized geometry; total magnetization = 0.27 μB per formula unit; electronic total energy = -37.04 eV for the cell shown; V = 235.5 Å³/cell; space group = Immm
1.0
4.185 0.000 0.000
0.000 5.156 0.000
0.000 0.000 10.917
Rb Pt O
4 4 2
Direct
0.000 0.000 0.198
0.000 0.000 0.802
0.500 0.500 0.302
0.500 0.500 0.698
0.000 0.250 0.500
0.000 0.750 0.500
0.500 0.250 0.000
0.500 0.750 0.000
0.000 0.500 0.000
0.500 0.000 0.500